A plane-wave DFT calculation with meta-GGA SCAN was carried out for a PBEsol-optimized structure of Sc3TeAs.

Output
DOS at the Fermi energy ... 4.77 states/eV/cell
Total magnetization ... 2.4 μB per cell
E_form (uncorrected) ... 0.081 eV per atom

abc: 5.194 5.194 5.194
angles: 90.00 90.00 90.00
Positions (direct):
Sc1 0.000 0.000 0.500
Sc2 0.000 0.500 0.000
Sc3 0.500 0.000 0.000
Te1 0.000 0.000 0.000
As1 0.500 0.500 0.500

=====

A plane-wave DFT calculation with meta-GGA SCAN was carried out for a PBEsol-optimized structure of ScTeAs2.

Output
DOS at the Fermi energy ... 2.30 states/eV/cell
Total magnetization ... 0.0 μB per cell
E_form (uncorrected) ... -0.292 eV per atom

abc: 4.779 4.779 3.627
angles: 90.00 90.00 90.00
Positions (direct):
Sc1 0.000 0.000 0.000
Te1 0.500 0.500 0.000
As1 0.000 0.500 0.500
As2 0.500 0.000 0.500

=====

A plane-wave DFT calculation with meta-GGA SCAN was carried out for a PBEsol-optimized structure of ScTeAs2.

Output
DOS at the Fermi energy ... 1.80 states/eV/cell
Total magnetization ... 0.0 μB per cell
E_form (uncorrected) ... -0.323 eV per atom

abc: 2.971 2.971 10.634
angles: 90.00 90.00 90.00
Positions (direct):
Sc1 0.000 0.000 0.000
Te1 0.000 0.000 0.500
As1 0.500 0.500 0.184
As2 0.500 0.500 0.816

=====

A plane-wave DFT calculation with meta-GGA SCAN was carried out for a PBEsol-optimized structure of ScTeAs2.

Output
DOS at the Fermi energy ... 1.81 states/eV/cell
Total magnetization ... 0.0 μB per cell
E_form (uncorrected) ... -0.343 eV per atom

abc: 5.715 5.715 5.715
angles: 137.98 137.98 60.94
Positions (direct):
Sc1 0.000 0.000 0.000
Te1 0.500 0.500 0.000
As1 0.250 0.750 0.500
As2 0.750 0.250 0.500

=====

A plane-wave DFT calculation with meta-GGA SCAN was carried out for a PBEsol-optimized structure of YScTlAs2.

Output
E_tot ... -152.7 eV/cell
DOS at the Fermi energy ... 5.22 states/eV/cell
Total magnetization ... 0.0 μB per cell

abc: 5.313 5.313 5.412
angles: 90.00 90.00 90.00
Positions (direct):
Y1 0.000 0.000 0.000
Sc1 0.000 0.000 0.500
Tl1 0.500 0.500 0.500
As1 0.000 0.500 0.000
As2 0.500 0.000 0.000

=====

A plane-wave DFT calculation with meta-GGA SCAN was carried out for a PBEsol-optimized structure of ScAsW.

Output
E_tot ... -104.1 eV/cell
DOS at the Fermi energy ... 2.07 states/eV/cell
Total magnetization ... 0.0 μB per cell

abc: 6.653 6.427 2.964
angles: 81.19 72.68 26.12
Positions (direct):
Sc1 0.000 0.000 0.000
As1 0.332 0.332 0.668
W1 0.680 0.680 0.320